1.
DFT (PBE) results for a relaxed structure of RbPuIBr3.

Cell lengths 8.7207, 8.7207, 7.8635 Å; angles 89.54, 89.54, 56.14 degrees
Last column: magnetic moment on the atom in μB.
Fractional positions:
Rb: 0.7130 0.7130 0.7679  0.00
Rb: 0.2870 0.2870 0.2321  0.00
Pu: 0.0422 0.0422 0.7852  -5.11
Pu: 0.9578 0.9578 0.2148  -5.11
I: 0.2550 0.7450 0.5000  0.06
I: 0.7450 0.2550 0.5000  0.06
Br: 0.2129 0.2129 0.6571  0.04
Br: 0.1060 0.6793 0.9445  0.05
Br: 0.6793 0.1060 0.9445  0.05
Br: 0.3207 0.8940 0.0555  0.05
Br: 0.8940 0.3207 0.0555  0.05
Br: 0.7871 0.7871 0.3429  0.04

Crystal system: monoclinic



2.
DFT (PBE) results for a relaxed structure of RbPuI2Br.

Cell lengths 8.7500, 8.7500, 8.5524 Å; angles 120.77, 120.77, 90.00 degrees
Last column: magnetic moment on the atom in μB.
Fractional positions:
Rb: 0.7501 0.2501 0.5002  0.00
Rb: 0.2501 0.7501 0.5002  0.00
Pu: 0.0001 0.0001 0.0002  5.79
Pu: 0.5001 0.5001 0.0002  5.79
I: 0.3134 0.8134 0.9999  -0.03
I: 0.8134 0.6865 0.9999  -0.03
I: 0.6865 0.1865 0.9999  -0.03
I: 0.1865 0.3134 0.9999  -0.03
Br: 0.7501 0.7501 0.5002  -0.03
Br: 0.2501 0.2501 0.5002  -0.03

Crystal system: tetragonal



3.
DFT (PBE) results for a relaxed structure of Rb2PuI4Br2.

Cell lengths 8.5242, 8.2383, 8.2383 Å; angles 61.69, 58.71, 58.71 degrees
Last column: magnetic moment on the atom in μB.
Fractional positions:
Rb: 0.2304 0.7521 0.7521  0.00
Rb: 0.7696 0.2479 0.2479  0.00
Pu: 0.5000 0.0000 0.0000  4.64
I: 0.2909 0.7123 0.2135  -0.09
I: 0.7091 0.7865 0.2877  -0.09
I: 0.7091 0.2877 0.7865  -0.09
I: 0.2909 0.2135 0.7123  -0.09
Br: 0.1925 0.2392 0.2392  -0.08
Br: 0.8075 0.7608 0.7608  -0.08

Crystal system: monoclinic



Energy relative to the elements, uncorrected: -141.49, -124.18, -125.26 (kJ/mol of atoms)